# 1
{
  "formula": "SrCa2Ir",
  "functional": "PBE",
  "state": "optimized geometry",
  "e_form_ev_per_atom": -0.104,
  "e_above_lowest_polymorph_ev_per_atom": 0.166,
  "cell": [[3.5794, 0.0000, 0.0000], [0.0000, 3.5819, 0.0000], [0.0000, 0.0000, 10.0196]],
  "species": ["Sr", "Ca", "Ca", "Ir"],
  "fractional_positions": [[0.5000, 0.5000, 0.7500], [0.0000, 0.0000, 0.0902], [0.0000, 0.0000, 0.4098], [0.5000, 0.5000, 0.2500]]
}

***

# 2
{
  "formula": "SrCaIr2",
  "functional": "PBE",
  "state": "optimized geometry",
  "e_form_ev_per_atom": 0.119,
  "e_above_lowest_polymorph_ev_per_atom": 0.409,
  "cell": [[-0.5600, -4.7536, 2.0853], [3.1180, 0.0743, 4.1871], [-3.7178, 3.4110, -1.3424]],
  "species": ["Sr", "Ca", "Ir", "Ir"],
  "fractional_positions": [[0.7500, 0.2500, 0.5000], [0.2500, 0.7500, 0.5000], [0.0000, 0.0000, 0.0000], [0.5000, 0.5000, 0.0000]]
}

***

# 3
{
  "formula": "SrCaIr2",
  "functional": "PBE",
  "state": "optimized geometry",
  "e_form_ev_per_atom": 0.263,
  "e_above_lowest_polymorph_ev_per_atom": 0.553,
  "cell": [[-3.4347, 3.6688, -2.3968], [-5.3701, -0.7354, 1.2740], [4.7139, 0.3782, 2.9391]],
  "species": ["Sr", "Ca", "Ir", "Ir"],
  "fractional_positions": [[0.5000, 0.5000, 0.0000], [0.7500, 0.2500, 0.5000], [0.0000, 0.0000, 0.0000], [0.2500, 0.7500, 0.5000]]
}

***

# 4
{
  "formula": "SrCa6Ir",
  "functional": "PBE",
  "state": "optimized geometry",
  "e_form_ev_per_atom": -0.154,
  "cell": [[6.9107, 0.0000, 0.0000], [-3.4554, 6.7685, -1.4556], [0.0000, 0.0777, 13.6056]],
  "species": ["Sr", "Sr", "Ca", "Ca", "Ca", "Ca", "Ca", "Ca", "Ca", "Ca", "Ca", "Ca", "Ca", "Ca", "Ir", "Ir"],
  "fractional_positions": [[0.4153, 0.0000, 0.2500], [0.5847, 0.0000, 0.7500], [0.9857, 0.1524, 0.3967], [0.1667, 0.1524, 0.8967], [0.1322, 0.4279, 0.6746], [0.2957, 0.4279, 0.1746], [0.0143, 0.8476, 0.6033], [0.8333, 0.8476, 0.1033], [0.5703, 0.2985, 0.5367], [0.7282, 0.2985, 0.0367], [0.8678, 0.5721, 0.3254], [0.7043, 0.5721, 0.8254], [0.4297, 0.7015, 0.4633], [0.2718, 0.7015, 0.9633], [0.0000, 0.5000, 0.5000], [0.5000, 0.5000, 0.0000]]
}

***

# 5
{
  "formula": "Sr3Ca2Ir",
  "functional": "PBE",
  "state": "optimized geometry",
  "e_form_ev_per_atom": -0.112,
  "cell": [[-7.2313, -1.6859, 1.8242], [-0.2538, -7.5946, 0.8487], [-3.6492, -6.1094, 10.9040]],
  "species": ["Sr", "Sr", "Sr", "Sr", "Sr", "Sr", "Ca", "Ca", "Ca", "Ca", "Ir", "Ir"],
  "fractional_positions": [[0.3341, 0.6659, 0.2500], [0.6659, 0.3341, 0.7500], [0.0894, 0.2366, 0.0435], [0.7634, 0.9106, 0.4565], [0.9106, 0.7634, 0.9565], [0.2366, 0.0894, 0.5435], [0.7940, 0.4839, 0.3480], [0.5161, 0.2060, 0.1520], [0.4839, 0.7940, 0.8480], [0.2060, 0.5161, 0.6520], [0.6580, 0.3420, 0.2500], [0.3420, 0.6580, 0.7500]]
}

***

# 6
{
  "formula": "Sr3CaIr",
  "functional": "PBE",
  "state": "optimized geometry",
  "e_form_ev_per_atom": -0.087,
  "e_above_lowest_polymorph_ev_per_atom": 0.073,
  "cell": [[-5.4622, 1.3269, 1.9253], [-2.1355, -0.8383, -5.4809], [-0.9524, -5.7306, 1.2476]],
  "species": ["Sr", "Sr", "Sr", "Ca", "Ir"],
  "fractional_positions": [[0.0000, 0.5000, 0.0000], [0.0000, 0.0000, 0.5000], [0.5000, 0.0000, 0.0000], [0.5000, 0.5000, 0.5000], [0.0000, 0.0000, 0.0000]]
}

***

| no. | mass density (g cm⁻³) |
| --- | --- |
| 1 | 4.65 |
| 2 | 10.02 |
| 3 | 9.94 |
| 4 | 2.71 |
| 5 | 3.46 |
| 6 | 3.92 |